[1]
Entry from the Alexandria database: ErCu at its PBEsol-relaxed geometry (SCAN).

## Properties
density of states at the Fermi level	0.780	states/eV/f.u.
ΔH_f (0 K)	-0.34	eV per atom
size of the total moment	0.00	μB/f.u.

abc: 3.3729 3.3729 3.3729
angles: 90.00 90.00 90.00
Last column: nearest neighbours and their distance in Å.
Space group Pm-3m (No. 221)
Symmetry-distinct sites (fractional):
Er: 0.0000 0.0000 0.0000  8 Cu 2.92
Cu: 0.5000 0.5000 0.5000  8 Er 2.92

[2]
Entry from the Alexandria database: HfScAsSe2 at its PBEsol-relaxed geometry (SCAN).

## Properties
formation energy without anion corrections	-1.63	kcal/mol of atoms
density of states at the Fermi level	2.258	states/eV/f.u.
size of the total moment	0.00	μB/f.u.

abc: 4.8850 4.8850 5.0229
angles: 90.00 90.00 90.00
Last column: nearest neighbours and their distance in Å.
Space group P4/mmm (No. 123)
Symmetry-distinct sites (fractional):
Hf: 0.0000 0.0000 0.0000  4 As 3.45, 8 Se 3.50
Sc: 0.5000 0.5000 0.5000  4 Se 2.44, 2 As 2.51
As: 0.5000 0.5000 0.0000  2 Sc 2.51
Se: 0.0000 0.5000 0.5000  2 Sc 2.44

What did the first record say?
Entry from the Alexandria database: ErCu at its PBEsol-relaxed geometry (SCAN).

## Properties
density of states at the Fermi level	0.780	states/eV/f.u.
ΔH_f (0 K)	-0.34	eV per atom
size of the total moment	0.00	μB/f.u.

abc: 3.3729 3.3729 3.3729
angles: 90.00 90.00 90.00
Last column: nearest neighbours and their distance in Å.
Space group Pm-3m (No. 221)
Symmetry-distinct sites (fractional):
Er: 0.0000 0.0000 0.0000  8 Cu 2.92
Cu: 0.5000 0.5000 0.5000  8 Er 2.92

What is the size of the total moment in the second record?
0.00 μB/f.u.

Look up the size of the total moment of the second one.
0.00 μB/f.u.

Copy entry 1 word for word.
Entry from the Alexandria database: ErCu at its PBEsol-relaxed geometry (SCAN).

## Properties
density of states at the Fermi level	0.780	states/eV/f.u.
ΔH_f (0 K)	-0.34	eV per atom
size of the total moment	0.00	μB/f.u.

abc: 3.3729 3.3729 3.3729
angles: 90.00 90.00 90.00
Last column: nearest neighbours and their distance in Å.
Space group Pm-3m (No. 221)
Symmetry-distinct sites (fractional):
Er: 0.0000 0.0000 0.0000  8 Cu 2.92
Cu: 0.5000 0.5000 0.5000  8 Er 2.92